No. 1
Material: PmBi3
Method: DFT, PBE-GGA
State: relaxed

Lattice parameters (Å, degrees): 4.6609 4.6379 12.1890 100.97 90.00 90.00
Element x y z (fractional)
Pm 0.2500 0.5698 0.1396
Pm 0.7500 0.4302 0.8604
Bi 0.2500 0.1787 0.3575
Bi 0.7500 0.8213 0.6425
Bi 0.7500 0.0528 0.1057
Bi 0.2500 0.9472 0.8943
Bi 0.7500 0.6786 0.3573
Bi 0.2500 0.3214 0.6427

Properties
energy above the lowest structure with this stoichiometry: 0.000 eV/atom
calculated formation energy: -1.7 eV/f.u.
SG: No. 63


No. 2
Material: NaCu2HgI6
Method: DFT, PBE-GGA
State: relaxed

Lattice parameters (Å, degrees): 7.7241 10.2061 10.2061 87.30 77.47 77.47
Element x y z (fractional)
Na 0.2500 0.8981 0.1019
Na 0.7500 0.1019 0.8981
Cu 0.2543 0.7555 0.6239
Cu 0.2457 0.3761 0.2445
Cu 0.7457 0.2445 0.3761
Cu 0.7543 0.6239 0.7555
Hg 0.2500 0.2358 0.7642
Hg 0.7500 0.7642 0.2358
I 0.1534 0.9527 0.7979
I 0.3466 0.2021 0.0473
I 0.8466 0.0473 0.2021
I 0.6534 0.7979 0.9527
I 0.4044 0.8567 0.3886
I 0.0956 0.6114 0.1433
I 0.5956 0.1433 0.6114
I 0.9044 0.3886 0.8567
I 0.9682 0.7093 0.5607
I 0.5318 0.4393 0.2907
I 0.0318 0.2907 0.4393
I 0.4682 0.5607 0.7093

Properties
formation energy from raw total energies: -0.3607 eV/atom
SG: No. 15


No. 3
Material: LaBeO2
Method: DFT, PBE-GGA
State: relaxed

Lattice parameters (Å, degrees): 5.3535 5.3535 5.3535 43.45 43.45 43.45
Each line ends with the local moment (μB).
Element x y z (fractional)
Be 0.0000 0.0000 0.0000  0.03
O 0.8979 0.8979 0.8979  0.06
O 0.1021 0.1021 0.1021  0.06
La 0.5000 0.5000 0.5000  0.16

Properties
formation energy from raw total energies: -2.5390 eV/atom
SG: No. 166